## A
VASP calculation (PBE) on a relaxed HfTi3In crystal.

a = 4.9644 Å, b = 4.9644 Å, c = 4.9644 Å
α = 90.00°, β = 90.00°, γ = 90.00°
Last column: nearest neighbours and their distance in Å.
Space group Pm-3m (No. 221)
Asymmetric unit:
Hf: 0.0000 0.0000 0.0000  12 Ti 3.51
Ti: 0.0000 0.5000 0.5000  2 In 2.48
In: 0.5000 0.5000 0.5000  6 Ti 2.48

## Properties
**Theoretical density**: 5.93 g cm⁻³

## B
VASP calculation (PBE) on a relaxed HfTi3In crystal.

a = 3.8131 Å, b = 3.8131 Å, c = 13.8882 Å
α = 90.00°, β = 90.00°, γ = 90.00°
Last column: nearest neighbours and their distance in Å.
Space group I4mm (No. 107)
Asymmetric unit:
Hf: 0.0000 0.0000 0.0000  4 Ti 2.87
Ti: 0.0000 0.0000 0.4286  4 Ti 2.67, 1 In 2.76, 4 Hf 2.87
Ti: 0.0000 0.5000 0.2941  6 Ti 2.67-2.70
In: 0.0000 0.0000 0.6275  5 Ti 2.76-3.00

## Properties
**Theoretical density**: 7.19 g cm⁻³

## C
VASP calculation (PBE) on a relaxed HfTi3In crystal.

a = 4.8617 Å, b = 4.8617 Å, c = 4.8617 Å
α = 90.00°, β = 90.00°, γ = 90.00°
Last column: nearest neighbours and their distance in Å.
Space group Pm-3m (No. 221)
Asymmetric unit:
Hf: 0.0000 0.0000 0.0000  6 Ti 2.43
Ti: 0.0000 0.0000 0.5000  2 Hf 2.43
In: 0.5000 0.5000 0.5000  12 Ti 3.44

## Properties
**Theoretical density**: 6.31 g cm⁻³

Here are the energies relative to the best structure, in eV/atom: A 1.104; B 0.000; C 0.930.

## A
VASP calculation (PBE) on a relaxed HfTiIn3 crystal.

a = 7.8168 Å, b = 6.2614 Å, c = 9.1154 Å
α = 90.00°, β = 90.00°, γ = 90.00°
Last column: nearest neighbours and their distance in Å.
Space group Pnma (No. 62)
Asymmetric unit:
Hf: 0.0000 0.0000 0.0000  2 Ti 3.02, 2 Hf 3.13, 4 In 3.14-3.21
Ti: 0.2142 0.2500 0.3570  8 In 2.86-3.14, 2 Hf 3.02
In: 0.1260 0.5121 0.6261  3 Ti 2.86-3.05, 5 In 2.88-3.08, 1 Hf 3.14
In: 0.1967 0.7500 0.3361  6 In 2.88-3.08, 2 Ti 3.14, 2 Hf 3.21

## Properties
**Theoretical density**: 8.50 g cm⁻³

## B
VASP calculation (PBE) on a relaxed HfTiIn3 crystal.

a = 5.1376 Å, b = 5.1376 Å, c = 5.1376 Å
α = 90.00°, β = 90.00°, γ = 90.00°
Last column: nearest neighbours and their distance in Å.
Space group Pm-3m (No. 221)
Asymmetric unit:
Hf: 0.0000 0.0000 0.0000  12 In 3.63
Ti: 0.5000 0.5000 0.5000  6 In 2.57
In: 0.0000 0.5000 0.5000  2 Ti 2.57

## Properties
**Theoretical density**: 6.99 g cm⁻³

Here are the energies relative to the best structure, in eV/atom: A 0.000; B 0.665.

## A
VASP calculation (PBE) on a relaxed Hf3TiIn4 crystal.

a = 8.7096 Å, b = 6.2940 Å, c = 6.2644 Å
α = 90.00°, β = 90.00°, γ = 90.00°
Last column: nearest neighbours and their distance in Å.
Space group Pmna (No. 53)
Asymmetric unit:
Hf: 0.0000 0.0000 0.0000  4 Hf 3.11, 6 In 3.12-3.13, 2 Ti 3.15
Hf: 0.2500 0.2515 0.2500  8 In 3.10-3.18, 2 Ti 3.10, 2 Hf 3.11
Ti: 0.0000 0.5000 0.0000  6 In 3.10-3.13, 6 Hf 3.10-3.15
In: 0.0000 0.0000 0.5000  6 Hf 3.11-3.13, 6 In 3.12-3.15
In: 0.0000 0.5000 0.5000  6 In 3.10-3.15, 4 Hf 3.10, 2 Ti 3.13
In: 0.2500 0.2539 0.7500  4 In 3.10-3.12, 2 Ti 3.10, 6 Hf 3.11-3.18

## Properties
**Theoretical density**: 10.08 g cm⁻³

## B
VASP calculation (PBE) on a relaxed Hf3TiIn4 crystal.

a = 3.7468 Å, b = 3.7468 Å, c = 12.1803 Å
α = 90.00°, β = 90.00°, γ = 90.00°
Last column: nearest neighbours and their distance in Å.
Space group P4/mmm (No. 123)
Asymmetric unit:
Hf: 0.0000 0.0000 0.0000  8 In 3.06, 2 Hf 3.10
Hf: 0.0000 0.0000 0.2546  1 Ti 2.99, 8 In 3.06-3.07, 1 Hf 3.10
Ti: 0.0000 0.0000 0.5000  2 Hf 2.99, 8 In 3.02
In: 0.5000 0.5000 0.1264  8 Hf 3.06-3.07, 2 In 3.08-3.10
In: 0.5000 0.5000 0.3807  2 In 2.91-3.10, 4 Ti 3.02, 4 Hf 3.06

## Properties
**Theoretical density**: 10.12 g cm⁻³

Here are the energies relative to the best structure, in eV/atom: A 0.000; B 0.063.

## A
VASP calculation (PBE) on a relaxed HfTi3In2 crystal.

a = 2.9767 Å, b = 5.1050 Å, c = 16.3436 Å
α = 90.00°, β = 90.00°, γ = 90.00°
Last column: nearest neighbours and their distance in Å.
Space group Immm (No. 71)
Asymmetric unit:
Hf: 0.0000 0.0000 0.0000  2 Ti 2.55
Ti: 0.0000 0.0000 0.1767  5 In 2.80-2.98, 1 Hf 2.89, 2 Ti 2.98
Ti: 0.0000 0.5000 0.0000  2 Hf 2.55
In: 0.0000 0.0000 0.3482  7 Ti 2.80-2.98, 2 In 2.98

## Properties
**Theoretical density**: 7.38 g cm⁻³

## B
VASP calculation (PBE) on a relaxed HfTi3In2 crystal.

a = 8.0712 Å, b = 3.0665 Å, c = 18.9845 Å
α = 90.00°, β = 90.00°, γ = 90.00°
Last column: nearest neighbours and their distance in Å.
Space group Pnma (No. 62)
Asymmetric unit:
Hf: 0.0655 0.2500 0.0662  3 Ti 2.97, 4 Hf 3.07-3.13, 5 In 3.10-3.18
Ti: 0.0135 0.7500 0.6631  6 Ti 2.84-3.11, 4 In 2.99-3.02
Ti: 0.1239 0.2500 0.5453  6 Ti 2.85-3.07, 3 In 2.93-2.95, 2 Hf 2.97
Ti: 0.1365 0.7500 0.8032  4 Ti 2.84-3.11, 6 In 2.91-2.95, 1 Hf 2.97
In: 0.1757 0.7500 0.2003  6 Ti 2.91-3.02, 2 In 3.07, 2 Hf 3.10
In: 0.2332 0.7500 0.4223  7 Ti 2.93-2.99, 2 In 3.07, 3 Hf 3.10-3.18

## Properties
**Theoretical density**: 7.80 g cm⁻³

Here are the energies relative to the best structure, in eV/atom: A 0.436; B 0.000.